# CaDyIn4 | the Alexandria database | PBE | optimized geometry
# * formation energy from the elements: -0.307 eV per atom
# * SG: F-43m, No. 216
# * distance to the lowest polymorph of the same formula: 0.068 eV per atom
data_CaDyIn4
_space_group_name_H-M_alt 'P 1'
_space_group_IT_number 1
_cell_length_a 6.063
_cell_length_b 6.063
_cell_length_c 6.063
_cell_angle_alpha 60.00
_cell_angle_beta 60.00
_cell_angle_gamma 60.00
loop_
_space_group_symop_operation_xyz
'x,y,z'
loop_
_atom_site_label
_atom_site_type_symbol
_atom_site_fract_x
_atom_site_fract_y
_atom_site_fract_z
In1 In 0.124 0.625 0.625
In2 In 0.625 0.124 0.625
In3 In 0.625 0.625 0.124
In4 In 0.625 0.625 0.625
Ca1 Ca 0.250 0.250 0.250
Dy1 Dy 0.000 0.000 0.000


# PmYHSe | the Alexandria database | PBE | optimized geometry
# * SG: R-3m, No. 166
# * calculated total energy: -5.653 eV/atom
data_PmYHSe
_space_group_name_H-M_alt 'P 1'
_space_group_IT_number 1
_cell_length_a 3.940
_cell_length_b 3.940
_cell_length_c 13.270
_cell_angle_alpha 81.46
_cell_angle_beta 81.46
_cell_angle_gamma 60.00
loop_
_space_group_symop_operation_xyz
'x,y,z'
loop_
_atom_site_label
_atom_site_type_symbol
_atom_site_fract_x
_atom_site_fract_y
_atom_site_fract_z
Y1 Y 0.789 0.789 0.634
Y2 Y 0.211 0.211 0.366
Pm1 Pm 0.382 0.382 0.855
Pm2 Pm 0.618 0.618 0.145
Se1 Se 0.000 0.000 0.000
Se2 Se 0.500 0.500 0.500
H1 H 0.269 0.269 0.194
H2 H 0.731 0.731 0.806


# ZnCrSn2Pb | the Alexandria database | PBE | optimized geometry
# * formation energy from the elements: 0.336 eV per atom
# * SG: P4/mmm, No. 123
data_ZnCrSn2Pb
_space_group_name_H-M_alt 'P 1'
_space_group_IT_number 1
_cell_length_a 5.061
_cell_length_b 5.194
_cell_length_c 5.061
_cell_angle_alpha 90.00
_cell_angle_beta 90.00
_cell_angle_gamma 90.00
loop_
_space_group_symop_operation_xyz
'x,y,z'
loop_
_atom_site_label
_atom_site_type_symbol
_atom_site_fract_x
_atom_site_fract_y
_atom_site_fract_z
Sn1 Sn 0.000 0.000 0.500
Sn2 Sn 0.500 0.000 0.000
Pb1 Pb 0.000 0.500 0.000
Zn1 Zn 0.500 0.500 0.500
Cr1 Cr 0.000 0.000 0.000


# TmLuNb4 | the Alexandria database | PBE | optimized geometry
# * formation energy from the elements: 0.146 eV per atom
# * SG: F-43m, No. 216
data_TmLuNb4
_space_group_name_H-M_alt 'P 1'
_space_group_IT_number 1
_cell_length_a 5.691
_cell_length_b 5.691
_cell_length_c 5.691
_cell_angle_alpha 60.00
_cell_angle_beta 60.00
_cell_angle_gamma 60.00
loop_
_space_group_symop_operation_xyz
'x,y,z'
loop_
_atom_site_label
_atom_site_type_symbol
_atom_site_fract_x
_atom_site_fract_y
_atom_site_fract_z
Lu1 Lu 0.250 0.250 0.250
Nb1 Nb 0.625 0.625 0.125
Nb2 Nb 0.125 0.625 0.625
Nb3 Nb 0.625 0.125 0.625
Nb4 Nb 0.625 0.625 0.625
Tm1 Tm 0.000 0.000 0.000


# NdHoLuTh | the Alexandria database | PBE | optimized geometry
# * formation energy from the elements: 0.119 eV per atom
# * SG: F-43m, No. 216
data_NdHoLuTh
_space_group_name_H-M_alt 'P 1'
_space_group_IT_number 1
_cell_length_a 5.667
_cell_length_b 5.667
_cell_length_c 5.667
_cell_angle_alpha 60.00
_cell_angle_beta 60.00
_cell_angle_gamma 60.00
loop_
_space_group_symop_operation_xyz
'x,y,z'
loop_
_atom_site_label
_atom_site_type_symbol
_atom_site_fract_x
_atom_site_fract_y
_atom_site_fract_z
Lu1 Lu 0.500 0.500 0.500
Ho1 Ho 0.000 0.000 0.000
Nd1 Nd 0.250 0.250 0.250
Th1 Th 0.750 0.750 0.750


# LiMg2Cd9 | the Alexandria database | PBE | optimized geometry
# * formation energy from the elements: -0.086 eV per atom
# * SG: P4/mmm, No. 123
data_LiMg2Cd9
_space_group_name_H-M_alt 'P 1'
_space_group_IT_number 1
_cell_length_a 4.487
_cell_length_b 4.487
_cell_length_c 12.903
_cell_angle_alpha 90.00
_cell_angle_beta 90.00
_cell_angle_gamma 90.00
loop_
_space_group_symop_operation_xyz
'x,y,z'
loop_
_atom_site_label
_atom_site_type_symbol
_atom_site_fract_x
_atom_site_fract_y
_atom_site_fract_z
Cd1 Cd 0.500 0.000 0.839
Cd2 Cd 0.500 0.500 0.332
Cd3 Cd 0.500 0.000 0.161
Cd4 Cd 0.500 0.500 0.668
Cd5 Cd 0.000 0.500 0.161
Cd6 Cd 0.000 0.500 0.839
Cd7 Cd 0.000 0.500 0.500
Cd8 Cd 0.500 0.000 0.500
Cd9 Cd 0.500 0.500 0.000
Mg1 Mg 0.000 0.000 0.670
Mg2 Mg 0.000 0.000 0.330
Li1 Li 0.000 0.000 0.000


# NiB | the Alexandria database | PBE | optimized geometry
# * formation energy from the elements: 0.148 eV per atom
# * SG: P6_3/m, No. 176
data_NiB
_space_group_name_H-M_alt 'P 1'
_space_group_IT_number 1
_cell_length_a 5.958
_cell_length_b 5.958
_cell_length_c 3.477
_cell_angle_alpha 90.00
_cell_angle_beta 90.00
_cell_angle_gamma 120.00
loop_
_space_group_symop_operation_xyz
'x,y,z'
loop_
_atom_site_label
_atom_site_type_symbol
_atom_site_fract_x
_atom_site_fract_y
_atom_site_fract_z
Ni1 Ni 0.909 0.334 0.250
Ni2 Ni 0.666 0.575 0.250
Ni3 Ni 0.425 0.091 0.250
Ni4 Ni 0.575 0.909 0.750
Ni5 Ni 0.334 0.425 0.750
Ni6 Ni 0.091 0.666 0.750
B1 B 0.836 0.796 0.750
B2 B 0.164 0.204 0.250
B3 B 0.796 0.960 0.250
B4 B 0.204 0.040 0.750
B5 B 0.960 0.164 0.750
B6 B 0.040 0.836 0.250


# BaMgAs2 | the Alexandria database | PBE | optimized geometry
# * formation energy from the elements: -0.553 eV per atom
# * SG: P4mm, No. 99
data_BaMgAs2
_space_group_name_H-M_alt 'P 1'
_space_group_IT_number 1
_cell_length_a 5.100
_cell_length_b 4.793
_cell_length_c 5.101
_cell_angle_alpha 90.04
_cell_angle_beta 90.00
_cell_angle_gamma 90.00
loop_
_space_group_symop_operation_xyz
'x,y,z'
loop_
_atom_site_label
_atom_site_type_symbol
_atom_site_fract_x
_atom_site_fract_y
_atom_site_fract_z
As1 As 0.500 0.977 0.375
As2 As 0.000 0.977 0.875
Mg1 Mg 0.500 0.062 0.875
Ba1 Ba 0.000 0.483 0.375


# Nd2PtO4F | the Alexandria database | PBE | optimized geometry
# * energy relative to the elements, uncorrected: -2.448 eV/atom
# * SG: C2/m, No. 12
data_Nd2PtO4F
_space_group_name_H-M_alt 'P 1'
_space_group_IT_number 1
_cell_length_a 3.585
_cell_length_b 5.155
_cell_length_c 6.827
_cell_angle_alpha 65.42
_cell_angle_beta 74.78
_cell_angle_gamma 69.65
loop_
_space_group_symop_operation_xyz
'x,y,z'
loop_
_atom_site_label
_atom_site_type_symbol
_atom_site_fract_x
_atom_site_fract_y
_atom_site_fract_z
F1 F 0.500 0.500 0.500
O1 O 0.382 0.290 0.946
O2 O 0.618 0.710 0.054
O3 O 0.160 0.993 0.686
O4 O 0.840 0.007 0.314
Nd1 Nd 0.815 0.662 0.708
Nd2 Nd 0.185 0.338 0.292
Pt1 Pt 0.000 0.000 0.000


# SiHg2Os2 | the Alexandria database | PBE | optimized geometry
# * energy relative to the elements, uncorrected: 1.161 eV/atom
# * SG: P4/mbm, No. 127
# * distance to the lowest polymorph of the same formula: 0.106 eV per atom
data_SiHg2Os2
_space_group_name_H-M_alt 'P 1'
_space_group_IT_number 1
_cell_length_a 8.381
_cell_length_b 8.381
_cell_length_c 2.775
_cell_angle_alpha 90.00
_cell_angle_beta 90.00
_cell_angle_gamma 90.00
loop_
_space_group_symop_operation_xyz
'x,y,z'
loop_
_atom_site_label
_atom_site_type_symbol
_atom_site_fract_x
_atom_site_fract_y
_atom_site_fract_z
Os1 Os 0.101 0.601 0.500
Os2 Os 0.399 0.101 0.500
Os3 Os 0.601 0.899 0.500
Os4 Os 0.899 0.399 0.500
Hg1 Hg 0.807 0.693 0.000
Hg2 Hg 0.307 0.807 0.000
Hg3 Hg 0.693 0.193 0.000
Hg4 Hg 0.193 0.307 0.000
Si1 Si 0.000 0.000 0.000
Si2 Si 0.500 0.500 0.000


# TlTeCl | the Alexandria database | PBE | optimized geometry
# * energy relative to the elements, uncorrected: -0.310 eV/atom
# * SG: Fmm2, No. 42
data_TlTeCl
_space_group_name_H-M_alt 'P 1'
_space_group_IT_number 1
_cell_length_a 9.401
_cell_length_b 9.400
_cell_length_c 3.319
_cell_angle_alpha 79.85
_cell_angle_beta 79.81
_cell_angle_gamma 20.34
loop_
_space_group_symop_operation_xyz
'x,y,z'
loop_
_atom_site_label
_atom_site_type_symbol
_atom_site_fract_x
_atom_site_fract_y
_atom_site_fract_z
Cl1 Cl 0.967 0.967 0.033
Tl1 Tl 0.371 0.371 0.629
Te1 Te 0.662 0.662 0.338


# Cu2TeS | the Alexandria database | PBE | optimized geometry
# * energy relative to the elements, uncorrected: 0.044 eV/atom
# * SG: R3m, No. 160
# * distance to the lowest polymorph of the same formula: 0.172 eV per atom
data_Cu2TeS
_space_group_name_H-M_alt 'P 1'
_space_group_IT_number 1
_cell_length_a 3.640
_cell_length_b 3.640
_cell_length_c 6.586
_cell_angle_alpha 73.96
_cell_angle_beta 73.96
_cell_angle_gamma 60.00
loop_
_space_group_symop_operation_xyz
'x,y,z'
loop_
_atom_site_label
_atom_site_type_symbol
_atom_site_fract_x
_atom_site_fract_y
_atom_site_fract_z
Cu1 Cu 0.237 0.237 0.289
Cu2 Cu 0.098 0.098 0.707
Te1 Te 0.669 0.669 0.993
S1 S 0.496 0.496 0.511